[1]
# Rb2NaHfH6

Rb2NaHfH6 after structural relaxation (PBE, Alexandria via LeMat-Bulk).

Cell lengths 6.1800, 6.1801, 8.7393 Å; angles 90.00, 90.00, 90.00 degrees
Positions (direct):
Rb 0.5000 0.7497 0.2500
Rb 0.0000 0.2503 0.7500
Rb 0.5000 0.7497 0.7500
Rb 0.0000 0.2503 0.2500
Na 0.0000 0.7496 0.5000
Na 0.5000 0.2504 0.0000
Hf 0.5000 0.2495 0.5000
Hf 0.0000 0.7505 0.0000
H 0.5000 0.2508 0.2707
H 0.5000 0.2508 0.7293
H 0.0000 0.7492 0.2293
H 0.0000 0.7492 0.7707
H 0.2711 0.0198 0.5000
H 0.7289 0.0198 0.5000
H 0.2703 0.4783 0.5000
H 0.7297 0.4783 0.5000
H 0.7703 0.5217 0.0000
H 0.2297 0.5217 0.0000
H 0.2289 0.9802 0.0000
H 0.7711 0.9802 0.0000

Computed properties:
* space-group type: Pmmn
* E: -3.4760 eV/atom

[2]
# La2RePt

La2RePt after structural relaxation (PBE, Alexandria via LeMat-Bulk).

Cell lengths 8.1664, 5.1595, 3.5628 Å; angles 90.02, 64.11, 129.84 degrees
Positions (direct):
La 0.0000 0.0000 0.0000
La 0.5000 0.0000 0.5000
Pt 0.0000 0.5000 0.5000
Re 0.5000 0.5000 0.0000

Computed properties:
* relative energy among the computed polymorphs: 88 meV/atom
* formation energy: -0.64 eV/f.u.
* space-group type: Cmmm
* E: -7.2452 eV/atom

[3]
# NiTe2OsN

NiTe2OsN after structural relaxation (PBE, Alexandria via LeMat-Bulk).

Cell lengths 5.1369, 5.1369, 3.3398 Å; angles 90.00, 90.00, 90.00 degrees
Positions (direct):
Ni 0.0000 0.0000 0.0000
Te 0.0000 0.5000 0.0000
Te 0.5000 0.0000 0.0000
Os 0.5000 0.5000 0.5000
N 0.0000 0.0000 0.5000

Computed properties:
* relative energy among the computed polymorphs: 286 meV/atom
* formation energy without anion corrections: 4.7 eV per formula unit
* space-group type: P4/mmm
* E: -5.3884 eV/atom

[4]
# FeHgAu4

FeHgAu4 after structural relaxation (PBE, Alexandria via LeMat-Bulk).

Cell lengths 5.5118, 5.5118, 5.5118 Å; angles 60.00, 60.00, 60.00 degrees
Positions (direct):
Fe 0.7500 0.7500 0.7500
Hg 0.0000 0.0000 0.0000
Au 0.8744 0.3752 0.3752
Au 0.3752 0.3752 0.8744
Au 0.3752 0.8744 0.3752
Au 0.3752 0.3752 0.3752

Computed properties:
* formation energy: 2.08 eV/f.u.
* space-group type: F-43m
* E: -3.2984 eV/atom

[5]
# Sr4CdSn

Sr4CdSn after structural relaxation (PBE, Alexandria via LeMat-Bulk).

Cell lengths 7.3057, 9.1969, 9.3531 Å; angles 115.10, 107.79, 99.95 degrees
Positions (direct):
Sr 0.0152 0.2508 0.8850
Sr 0.7830 0.6872 0.6369
Sr 0.3698 0.6343 0.8850
Sr 0.3539 0.9497 0.6369
Sr 0.6461 0.0503 0.3631
Sr 0.6302 0.3657 0.1150
Sr 0.2170 0.3128 0.3631
Sr 0.9848 0.7492 0.1150
Cd 0.2438 0.9938 0.9875
Cd 0.7562 0.0062 0.0125
Sn 0.3878 0.6378 0.2755
Sn 0.6122 0.3622 0.7245

Computed properties:
* formation energy: -2.13 eV/f.u.
* space-group type: C2/c
* E: -2.2951 eV/atom

[6]
# LiHf6O12

LiHf6O12 after structural relaxation (PBE, Alexandria via LeMat-Bulk).

Cell lengths 6.1562, 6.1562, 6.1562 Å; angles 99.81, 99.81, 99.81 degrees
Positions (direct):
Li 0.0000 0.0000 0.0000
Hf 0.1341 0.2894 0.6059
Hf 0.7106 0.3941 0.8659
Hf 0.3941 0.8659 0.7106
Hf 0.8659 0.7106 0.3941
Hf 0.2894 0.6059 0.1341
Hf 0.6059 0.1341 0.2894
O 0.4270 0.1790 0.5621
O 0.1790 0.5621 0.4270
O 0.5621 0.4270 0.1790
O 0.5730 0.8210 0.4379
O 0.8210 0.4379 0.5730
O 0.4379 0.5730 0.8210
O 0.0768 0.9274 0.6717
O 0.3283 0.9232 0.0726
O 0.0726 0.3283 0.9232
O 0.9232 0.0726 0.3283
O 0.6717 0.0768 0.9274
O 0.9274 0.6717 0.0768

Computed properties:
* formation energy without anion corrections: -62.7 eV per formula unit
* space-group type: R-3
* E: -9.6763 eV/atom

- Which of these has the lowest E?
  LiHf6O12

Please write out number 4 again, unchanged.
# FeHgAu4

FeHgAu4 after structural relaxation (PBE, Alexandria via LeMat-Bulk).

Cell lengths 5.5118, 5.5118, 5.5118 Å; angles 60.00, 60.00, 60.00 degrees
Positions (direct):
Fe 0.7500 0.7500 0.7500
Hg 0.0000 0.0000 0.0000
Au 0.8744 0.3752 0.3752
Au 0.3752 0.3752 0.8744
Au 0.3752 0.8744 0.3752
Au 0.3752 0.3752 0.3752

Computed properties:
* formation energy: 2.08 eV/f.u.
* space-group type: F-43m
* E: -3.2984 eV/atom